<one>
The following is a PBE calculation of a relaxed structure of UNiS, from Alexandria.

Cell: 3.8084 3.8084 3.9022 Å, 90.00 90.00 120.00°
Last column: nearest neighbours and their distance in Å.
Positions (direct):
1 U 0.0000 0.0000 0.0000  6 S 2.94, 6 Ni 2.94
2 Ni 0.6667 0.3333 0.5000  3 S 2.20
3 S 0.3333 0.6667 0.5000  3 Ni 2.20

Properties
Total magnetization = 2.1 μB/cell
Mass density = 11.14 g cm⁻³



<two>
The following is a PBE calculation of a relaxed structure of UNiS, from Alexandria.

Cell: 4.9380 4.9380 4.9380 Å, 139.51 139.51 58.60°
Last column: nearest neighbours and their distance in Å.
Positions (direct):
1 U 0.0000 0.0000 0.0000  5 S 2.80-2.85, 5 Ni 2.81-2.88
2 Ni 0.6655 0.6655 0.0000  5 S 2.78-2.93, 5 U 2.81-2.88
3 S 0.3256 0.3256 0.0000  5 Ni 2.78-2.93, 5 U 2.80-2.85

Properties
Total magnetization = 1.9 μB/cell
Mass density = 10.86 g cm⁻³



Most stable to least stable, the ends of the list are <one> and <two>.



<one>
The following is a PBE calculation of a relaxed structure of VNi2S4, from Alexandria.

Cell: 6.7900 6.7900 6.7900 Å, 122.39 118.23 89.50°
Last column: nearest neighbours and their distance in Å.
Positions (direct):
1 V 0.5000 0.0000 0.0000  6 S 2.36-2.37
2 V 0.5000 0.5000 0.5000  6 S 2.36-2.37
3 Ni 0.0000 0.0000 0.0000  6 S 2.33
4 Ni 0.1203 0.3703 0.7500  4 S 2.15-2.18
5 Ni 0.5000 0.0000 0.5000  6 S 2.33
6 Ni 0.8797 0.6297 0.2500  4 S 2.15-2.18
7 S 0.2484 0.2419 0.0065  2 Ni 2.18-2.33, 2 V 2.36
8 S 0.2545 0.2413 0.4868  3 Ni 2.15-2.33, 1 V 2.37
9 S 0.2545 0.7677 0.0132  3 Ni 2.15-2.33, 1 V 2.37
10 S 0.2646 0.7581 0.5065  2 Ni 2.18-2.33, 2 V 2.36
11 S 0.7354 0.2419 0.4935  2 Ni 2.18-2.33, 2 V 2.36
12 S 0.7455 0.2323 0.9868  3 Ni 2.15-2.33, 1 V 2.37
13 S 0.7455 0.7587 0.5132  3 Ni 2.15-2.33, 1 V 2.37
14 S 0.7516 0.7581 0.9935  2 Ni 2.18-2.33, 2 V 2.36

Properties
Total magnetization = 2.1 μB/cell
Mass density = 4.48 g cm⁻³



<two>
The following is a PBE calculation of a relaxed structure of VNi2S4, from Alexandria.

Cell: 6.4043 6.4043 6.4043 Å, 137.20 137.20 62.13°
Last column: nearest neighbours and their distance in Å.
Positions (direct):
1 V 0.0000 0.0000 0.0000  6 S 2.26-2.34
2 Ni 0.3953 0.3953 0.0000  1 S 2.08, 1 Ni 2.30
3 Ni 0.6047 0.6047 0.0000  1 S 2.08, 1 Ni 2.30
4 S 0.0000 0.5000 0.5000  2 V 2.34, 4 Ni 2.60
5 S 0.2060 0.2060 0.0000  1 Ni 2.08, 1 V 2.26
6 S 0.5000 0.0000 0.5000  2 V 2.34, 4 Ni 2.60
7 S 0.7940 0.7940 0.0000  1 Ni 2.08, 1 V 2.26

Properties
Total magnetization = 2.5 μB/cell
Mass density = 4.11 g cm⁻³



<three>
The following is a PBE calculation of a relaxed structure of VNi2S4, from Alexandria.

Cell: 3.2777 3.2777 12.3063 Å, 97.49 97.49 59.95°
Last column: nearest neighbours and their distance in Å.
Positions (direct):
1 V 0.0000 0.0000 0.0000  6 S 2.38
2 Ni 0.4331 0.4331 0.3050  4 S 2.14-2.27
3 Ni 0.5669 0.5669 0.6950  4 S 2.14-2.27
4 S 0.2067 0.2067 0.6121  3 Ni 2.14
5 S 0.3717 0.3717 0.1185  1 Ni 2.27, 3 V 2.38
6 S 0.6283 0.6283 0.8815  1 Ni 2.27, 3 V 2.38
7 S 0.7933 0.7933 0.3879  3 Ni 2.14

Properties
Total magnetization = 0.0 μB/cell
Mass density = 4.35 g cm⁻³



Most stable to least stable, the ends of the list are <one> and <two>.



<one>
The following is a PBE calculation of a relaxed structure of ZnNiS, from Alexandria.

Cell: 3.8700 4.6940 5.6611 Å, 76.57 77.75 73.63°
Last column: nearest neighbours and their distance in Å.
Positions (direct):
1 Zn 0.1808 0.1845 0.2301  3 S 2.43-2.69, 3 Ni 2.49-2.57
2 Zn 0.8192 0.8155 0.7699  3 S 2.43-2.69, 3 Ni 2.49-2.57
3 Ni 0.2260 0.6364 0.3938  2 S 2.17-2.19, 1 Ni 2.41
4 Ni 0.7740 0.3636 0.6062  2 S 2.17-2.19, 1 Ni 2.41
5 S 0.2584 0.2566 0.7839  2 Ni 2.17-2.19, 1 Zn 2.43
6 S 0.7416 0.7434 0.2161  2 Ni 2.17-2.19, 1 Zn 2.43

Properties
Total magnetization = 0.0 μB/cell
Mass density = 5.47 g cm⁻³



<two>
The following is a PBE calculation of a relaxed structure of ZnNiS, from Alexandria.

Cell: 8.8821 8.8821 6.2720 Å, 95.88 95.88 22.88°
Last column: nearest neighbours and their distance in Å.
Positions (direct):
1 Zn 0.2039 0.2039 0.0510  1 S 2.35, 4 Zn 2.51-2.60, 3 Ni 2.54-2.56
2 Zn 0.2722 0.2722 0.6444  1 S 2.39, 3 Ni 2.58-2.62, 4 Zn 2.59-2.60
3 Zn 0.7278 0.7278 0.3556  1 S 2.39, 3 Ni 2.58-2.62, 4 Zn 2.59-2.60
4 Zn 0.7961 0.7961 0.9490  1 S 2.35, 4 Zn 2.51-2.60, 3 Ni 2.54-2.56
5 Ni 0.3334 0.3334 0.2866  3 S 2.25-2.48
6 Ni 0.4003 0.4003 0.9376  3 S 2.12-2.22
7 Ni 0.5997 0.5997 0.0624  3 S 2.12-2.22
8 Ni 0.6666 0.6666 0.7134  3 S 2.25-2.48
9 S 0.0831 0.0831 0.8462  4 Ni 2.22-2.48, 1 Zn 2.35
10 S 0.4073 0.4073 0.6025  2 Ni 2.12-2.25
11 S 0.5927 0.5927 0.3975  2 Ni 2.12-2.25
12 S 0.9169 0.9169 0.1538  4 Ni 2.22-2.48, 1 Zn 2.35

Properties
Total magnetization = 0.0 μB/cell
Mass density = 5.42 g cm⁻³



<three>
The following is a PBE calculation of a relaxed structure of ZnNiS, from Alexandria.

Cell: 3.9728 4.8260 5.6571 Å, 73.99 71.19 71.44°
Last column: nearest neighbours and their distance in Å.
Positions (direct):
1 Zn 0.0000 0.0000 0.0000  3 S 2.39-2.56, 3 Ni 2.46-2.57
2 Zn 0.1735 0.2525 0.4544  2 S 2.37-2.43, 3 Ni 2.47-2.54
3 Ni 0.2886 0.6981 0.6413  3 S 2.26-2.28
4 Ni 0.6257 0.0440 0.7135  2 S 2.14-2.18
5 S 0.3566 0.3346 0.9920  2 Ni 2.18-2.28, 1 Zn 2.43
6 S 0.8574 0.7630 0.4372  3 Ni 2.14-2.26, 2 Zn 2.37-2.39

Properties
Total magnetization = 0.0 μB/cell
Mass density = 5.43 g cm⁻³



Most stable to least stable, the ends of the list are <three> and <two>.